Below is a relaxed structure of CoPSeO2, with properties calculated at the GGA+U level.

The offset from the most stable computed form comes out at 5.24 kcal/mol of atoms. The value obtained for the electronic total energy is -0.3323 Ry per atom. For the density of states at the Fermi level, the calculation gives 2.27 states/eV per cell. Its size of the total moment is 2.2 μB/f.u.

abc: 3.714 3.714 5.091
angles: 90.00 90.00 90.00
Space group P4/mmm (No. 123)
One atom of each set of equivalent atoms:
Co: 0.000 0.000 0.000 x1
P: 0.500 0.500 0.000 x1
Se: 0.500 0.500 0.500 x1
O: 0.000 0.500 0.500 x2